No. 1
SrIn2Ge2 | Alexandria | PBE | optimized geometry; V = 26.6 Å³ per atom; final energy = -3.51 eV/atom; space group = No. 139
1.0
-2.2191 -3.9366 0.7870
1.8560 -0.2087 4.1895
-5.0809 1.1553 4.8196
Ge Sr In
2 1 2
direct
0.3947 0.3947 0.2107
0.6053 0.6053 0.7893
0.0000 0.0000 0.0000
0.2500 0.7500 0.5000
0.7500 0.2500 0.5000

---

No. 2
Sr2InGe3 | Alexandria | PBE | optimized geometry; V = 27.9 Å³ per atom; final energy = -3.73 eV/atom; space group = No. 69
1.0
-2.8537 1.4059 5.8506
5.3075 -2.2326 3.3460
1.7966 7.3227 -4.7838
Sr Ge In
4 6 2
direct
0.2416 0.7584 0.0000
0.7500 0.2500 0.5000
0.2500 0.7500 0.5000
0.7584 0.2416 0.0000
0.1572 0.1572 0.3144
0.8428 0.8428 0.6856
0.6691 0.6691 0.8323
0.3309 0.3309 0.1677
0.8368 0.8368 0.1677
0.1632 0.1632 0.8323
0.3356 0.3356 0.6712
0.6644 0.6644 0.3288

---

No. 3
Sr3In4Ge2 | Alexandria | PBE | optimized geometry; V = 29.1 Å³ per atom; final energy = -3.24 eV/atom; space group = No. 12
1.0
-1.4391 -0.5614 -4.4255
1.6213 -5.9539 -2.2543
-7.4642 -6.4891 0.7680
In Sr Ge
4 3 2
direct
0.2476 0.4143 0.0905
0.0063 0.3303 0.6571
0.7524 0.5857 0.9095
0.9937 0.6697 0.3429
0.6875 0.2604 0.3647
0.3125 0.7396 0.6353
0.0000 0.0000 0.0000
0.6169 0.0487 0.7175
0.3831 0.9513 0.2825

---

No. 4
SrIn2Ge2 | Alexandria | PBE | optimized geometry; V = 25.7 Å³ per atom; final energy = -3.36 eV/atom; space group = No. 127
1.0
8.4737 0.0000 0.0000
0.0000 8.4737 0.0000
0.0000 0.0000 3.5798
In Sr Ge
4 2 4
direct
0.8749 0.6251 0.0000
0.6251 0.1251 0.0000
0.3749 0.8749 0.0000
0.1251 0.3749 0.0000
0.0000 0.0000 0.0000
0.5000 0.5000 0.0000
0.8302 0.3302 0.5000
0.1698 0.6698 0.5000
0.6698 0.8302 0.5000
0.3302 0.1698 0.5000

---

No. 5
Sr2In3Ge | Alexandria | PBE | optimized geometry; V = 29.2 Å³ per atom; final energy = -3.12 eV/atom; space group = No. 8
1.0
4.4550 0.0000 1.8657
1.8914 5.8540 1.7354
-0.1690 0.1058 6.6552
In Sr Ge
3 2 1
direct
0.1634 0.7493 0.9239
0.8349 0.2421 0.0882
0.8426 0.6200 0.6947
0.5624 0.1952 0.6801
0.4405 0.8101 0.3089
0.1562 0.3833 0.3043

---

No. 6
Sr4In5Ge6 | Alexandria | PBE | optimized geometry; V = 27.6 Å³ per atom; final energy = -3.57 eV/atom; space group = No. 36
1.0
-2.9419 -2.7266 2.3356
8.4788 0.4683 6.6142
-6.6561 13.6623 7.5653
Ge Sr In
12 8 10
direct
0.2309 0.4619 0.7645
0.5692 0.1385 0.9043
0.2166 0.4331 0.4845
0.4277 0.8554 0.1297
0.1146 0.2291 0.1148
0.4308 0.8615 0.4043
0.8854 0.7709 0.6148
0.5723 0.1446 0.6297
0.7691 0.5381 0.2646
0.5477 0.0954 0.3541
0.4523 0.9046 0.8541
0.7834 0.5669 0.9845
0.0097 0.0194 0.5008
0.0363 0.0725 0.7698
0.1615 0.3229 0.3040
0.9903 0.9806 0.0008
0.8385 0.6771 0.8040
0.1784 0.3568 0.9462
0.8216 0.6432 0.4462
0.9637 0.9275 0.2698
0.3589 0.7177 0.9759
0.6994 0.3988 0.1211
0.6411 0.2823 0.4759
0.6570 0.3140 0.7764
0.1507 0.3015 0.6274
0.3430 0.6860 0.2764
0.4416 0.8831 0.6819
0.3006 0.6012 0.6211
0.8493 0.6985 0.1274
0.5584 0.1169 0.1819